No. 1
La2CuRhO6 (GGA-PBEsol, relaxed); energy relative to the elements, uncorrected = -21.27 eV per formula unit; DOS(E_F) = 8.83 states/eV per cell; E = -0.558 Ry per atom; crystal system = monoclinic
1.0
5.4930 0.0000 0.0000
0.0000 5.6606 0.0000
-5.4840 0.0000 7.7573
La Cu Rh O
4 2 2 12
direct
0.2370 0.0576 0.2496 La
0.2370 0.4424 0.7496 La
0.7630 0.5576 0.2504 La
0.7630 0.9424 0.7504 La
0.0000 0.0000 0.5000 Cu
0.0000 0.5000 0.0000 Cu
0.5000 0.0000 0.0000 Rh
0.5000 0.5000 0.5000 Rh
0.1588 0.1996 0.9546 O
0.1588 0.3004 0.4546 O
0.2565 0.7088 0.9532 O
0.2565 0.7912 0.4532 O
0.3376 0.0181 0.7499 O
0.3376 0.4819 0.2499 O
0.6624 0.5181 0.7501 O
0.6624 0.9819 0.2501 O
0.7435 0.2088 0.5468 O
0.7435 0.2912 0.0468 O
0.8412 0.6996 0.5454 O
0.8412 0.8004 0.0454 O

---

No. 2
SrLaCuRuO6 (GGA-PBEsol, relaxed); energy relative to the elements, uncorrected = -19.67 eV per formula unit; DOS(E_F) = 6.83 states/eV per cell; E = -0.535 Ry per atom; crystal system = monoclinic
1.0
5.5786 0.0000 0.0000
0.0000 5.7324 0.0000
-5.5769 0.0000 7.5978
Sr La Cu Ru O
2 2 2 2 12
direct
0.0000 0.2158 0.0000 Sr
0.0000 0.7842 0.5000 Sr
0.5157 0.3111 0.5011 La
0.5157 0.6889 0.0011 La
0.7573 0.2302 0.2509 Cu
0.7573 0.7698 0.7509 Cu
0.2537 0.2390 0.7488 Ru
0.2537 0.7610 0.2488 Ru
0.0083 0.4870 0.2100 O
0.0083 0.5130 0.7100 O
0.0909 0.2313 0.4995 O
0.0909 0.7687 0.9995 O
0.4398 0.2717 0.9986 O
0.4398 0.7283 0.4986 O
0.4786 0.0426 0.2898 O
0.4786 0.9574 0.7898 O
0.5572 0.4504 0.7813 O
0.5572 0.5496 0.2813 O
0.9220 0.0558 0.7054 O
0.9220 0.9442 0.2054 O

---

No. 3
La3CuS3O2 (GGA-PBEsol, relaxed); energy relative to the elements, uncorrected = -22.21 eV per formula unit; E = -0.541 Ry per atom; crystal system = orthorhombic
1.0
13.8714 0.0000 0.0000
0.0000 3.8890 0.0000
0.0000 0.0000 12.3638
La Cu S O
12 4 12 8
direct
0.0773 0.2500 0.1011 La
0.1316 0.7500 0.5961 La
0.2078 0.7500 0.8868 La
0.2922 0.2500 0.3868 La
0.3684 0.2500 0.0961 La
0.4227 0.7500 0.6011 La
0.5773 0.2500 0.3989 La
0.6316 0.7500 0.9039 La
0.7078 0.7500 0.6132 La
0.7922 0.2500 0.1132 La
0.8684 0.2500 0.4039 La
0.9227 0.7500 0.8989 La
0.0854 0.7500 0.3292 Cu
0.4146 0.2500 0.8292 Cu
0.5854 0.7500 0.1708 Cu
0.9146 0.2500 0.6708 Cu
0.0560 0.2500 0.7648 S
0.0862 0.2500 0.4310 S
0.2183 0.7500 0.2118 S
0.2817 0.2500 0.7118 S
0.4138 0.7500 0.9310 S
0.4440 0.7500 0.2648 S
0.5560 0.2500 0.7352 S
0.5862 0.2500 0.0690 S
0.7183 0.7500 0.2882 S
0.7817 0.2500 0.7882 S
0.9138 0.7500 0.5690 S
0.9440 0.7500 0.2352 S
0.0732 0.7500 0.9936 O
0.2289 0.2500 0.9937 O
0.2711 0.7500 0.4937 O
0.4268 0.2500 0.4936 O
0.5732 0.7500 0.5064 O
0.7289 0.2500 0.5063 O
0.7711 0.7500 0.0063 O
0.9268 0.2500 0.0064 O

---

- Which value of energy relative to the elements, uncorrected does entry 3 give?
  -22.21 eV per formula unit

---

- E of number 1 (La2CuRhO6)?
  -0.558 Ry per atom